# Fe2B2Pd (GGA-PBE, relaxed)
# ΔE to the lowest computed polymorph (eV/atom): 0.0000
# Energy of formation from the pure elements (eV/atom): -0.111
# Calculated total energy (eV/atom): -7.206
data_Fe2B2Pd
_chemical_formula_sum 'Fe4 B4 Pd2'
_symmetry_space_group_name_H-M 'P 4/m b m'
_symmetry_Int_Tables_number 127
_symmetry_space_group_name_Hall '-P 4 2ab'
_cell_length_a 5.664
_cell_length_b 5.664
_cell_length_c 3.027
_cell_angle_alpha 90.00
_cell_angle_beta 90.00
_cell_angle_gamma 90.00
loop_
_atom_site_label
_atom_site_fract_x
_atom_site_fract_y
_atom_site_fract_z
Fe1 0.160 0.340 0.000
B1 0.112 0.612 0.500
Pd1 0.000 0.000 0.500

***

# Nd6Al5Cd (GGA-PBE, relaxed)
# Energy of formation from the pure elements (eV/atom): -0.345
# Calculated total energy (eV/atom): -4.365
data_Nd6Al5Cd
_chemical_formula_sum 'Nd12 Al10 Cd2'
_symmetry_space_group_name_H-M 'C m m m'
_symmetry_Int_Tables_number 65
_symmetry_space_group_name_Hall '-C 2 2'
_cell_length_a 5.319
_cell_length_b 15.946
_cell_length_c 7.492
_cell_angle_alpha 90.00
_cell_angle_beta 90.00
_cell_angle_gamma 90.00
loop_
_atom_site_label
_atom_site_fract_x
_atom_site_fract_y
_atom_site_fract_z
Nd1 0.000 0.000 0.247
Nd2 0.000 0.331 0.249
Al1 0.000 0.164 0.500
Al2 0.000 0.166 0.000
Al3 0.000 0.500 0.000
Cd1 0.000 0.500 0.500

***

# Tm2Ag2Sn3 (GGA-PBE, relaxed)
# Energy of formation from the pure elements (eV/atom): -0.295
# Calculated total energy (eV/atom): -4.102
data_Tm2Ag2Sn3
_chemical_formula_sum 'Tm4 Ag4 Sn6'
_symmetry_space_group_name_H-M 'C 1 2/m 1'
_symmetry_Int_Tables_number 12
_symmetry_space_group_name_Hall '-C 2y'
_cell_length_a 10.502
_cell_length_b 4.421
_cell_length_c 9.265
_cell_angle_alpha 90.00
_cell_angle_beta 123.29
_cell_angle_gamma 90.00
loop_
_atom_site_label
_atom_site_fract_x
_atom_site_fract_y
_atom_site_fract_z
Tm1 0.091 0.000 0.276
Ag1 0.197 0.500 0.870
Sn1 0.000 0.500 0.000
Sn2 0.165 0.000 0.656

***

# TaTc2RhCl (GGA-PBE, relaxed)
# ΔE_f (raw) (meV/atom): 1662
# Calculated total energy (eV/atom): -6.695
data_TaTc2RhCl
_chemical_formula_sum 'Ta1 Tc2 Rh1 Cl1'
_symmetry_space_group_name_H-M 'P 4/m m m'
_symmetry_Int_Tables_number 123
_symmetry_space_group_name_Hall '-P 4 2'
_cell_length_a 4.968
_cell_length_b 4.968
_cell_length_c 4.752
_cell_angle_alpha 90.00
_cell_angle_beta 90.00
_cell_angle_gamma 90.00
loop_
_atom_site_label
_atom_site_fract_x
_atom_site_fract_y
_atom_site_fract_z
Ta1 0.000 0.000 0.000
Tc1 0.000 0.500 0.000
Rh1 0.000 0.000 0.500
Cl1 0.500 0.500 0.500

***

# BaLa2Pm (GGA-PBE, relaxed)
# ΔE to the lowest computed polymorph (eV/atom): 0.0771
# Energy of formation from the pure elements (eV/atom): 0.171
# Calculated total energy (eV/atom): -3.961
data_BaLa2Pm
_chemical_formula_sum 'Ba3 La6 Pm3'
_symmetry_space_group_name_H-M 'R -3 m'
_symmetry_Int_Tables_number 166
_symmetry_space_group_name_Hall '-R 3 2"'
_cell_length_a 3.7473
_cell_length_b 3.7473
_cell_length_c 40.1553
_cell_angle_alpha 90.00
_cell_angle_beta 90.00
_cell_angle_gamma 120.00
loop_
_atom_site_label
_atom_site_fract_x
_atom_site_fract_y
_atom_site_fract_z
Ba1 0.0000 0.0000 0.0000
La1 0.0000 0.0000 0.0930
Pm1 0.0000 0.0000 0.5000

***

# Li2TaTe (GGA-PBE, relaxed)
# ΔE_f (raw) (meV/atom): 179
# Calculated total energy (eV/atom): -4.527
data_Li2TaTe
_chemical_formula_sum 'Li4 Ta2 Te2'
_symmetry_space_group_name_H-M 'C m m m'
_symmetry_Int_Tables_number 65
_symmetry_space_group_name_Hall '-C 2 2'
_cell_length_a 3.404
_cell_length_b 4.803
_cell_length_c 9.792
_cell_angle_alpha 90.00
_cell_angle_beta 90.00
_cell_angle_gamma 90.00
loop_
_atom_site_label
_atom_site_fract_x
_atom_site_fract_y
_atom_site_fract_z
Li1 0.000 0.000 0.248
Ta1 0.000 0.500 0.000
Te1 0.000 0.500 0.500

***

# GePtO2 (GGA-PBE, relaxed)
# ΔE_f (raw) (meV/atom): -778
# Calculated total energy (eV/atom): -5.921
data_GePtO2
_chemical_formula_sum 'Ge4 Pt4 O8'
_symmetry_space_group_name_H-M 'C 1 m 1'
_symmetry_Int_Tables_number 8
_symmetry_space_group_name_Hall 'C -2y'
_cell_length_a 10.142
_cell_length_b 2.976
_cell_length_c 7.897
_cell_angle_alpha 90.00
_cell_angle_beta 122.35
_cell_angle_gamma 90.00
loop_
_atom_site_label
_atom_site_fract_x
_atom_site_fract_y
_atom_site_fract_z
Ge1 0.000 0.000 0.000
Ge2 0.153 0.500 0.630
Pt1 0.375 0.000 0.495
Pt2 0.382 0.500 0.225
O1 0.117 0.000 0.427
O2 0.132 0.500 0.047
O3 0.211 0.000 0.799
O4 0.375 0.500 0.692

***

# Li2MgCd2Ag (GGA-PBE, relaxed)
# Energy of formation from the pure elements (eV/atom): -0.223
# Calculated total energy (eV/atom): -1.907
data_Li2MgCd2Ag
_chemical_formula_sum 'Li2 Mg1 Cd2 Ag1'
_symmetry_space_group_name_H-M 'P -3 m 1'
_symmetry_Int_Tables_number 164
_symmetry_space_group_name_Hall '-P 3 2"'
_cell_length_a 4.7353
_cell_length_b 4.7353
_cell_length_c 5.6998
_cell_angle_alpha 90.00
_cell_angle_beta 90.00
_cell_angle_gamma 120.00
loop_
_atom_site_label
_atom_site_fract_x
_atom_site_fract_y
_atom_site_fract_z
Li1 0.3333 0.6667 0.2034
Mg1 0.0000 0.0000 0.5000
Cd1 0.3333 0.6667 0.7221
Ag1 0.0000 0.0000 0.0000